(1)
# PBE AlAgCl2, relaxed
data_AlAgCl2
_cell_length_a 5.743
_cell_length_b 3.259
_cell_length_c 5.992
_cell_angle_alpha 90.00
_cell_angle_beta 112.94
_cell_angle_gamma 90.00
_space_group_name_H-M_alt 'P 1 m 1'
_space_group_IT_number 6
_space_group_name_Hall 'P -2y'
loop_
_atom_site_label
_atom_site_fract_x
_atom_site_fract_y
_atom_site_fract_z
Al1 0.000 0.000 0.000
Ag1 0.709 0.500 0.111
Cl1 0.058 0.500 0.737
Cl2 0.388 0.000 0.285
# - Energy relative to the elements, uncorrected: -0.75 eV per atom
# - Magnetic moment: 0.00 μB per formula unit
# - DFT total energy: -13.27 eV/cell



(2)
# PBE K3SmNp2S6, relaxed
data_K3SmNp2S6
_cell_length_a 7.116
_cell_length_b 12.324
_cell_length_c 7.745
_cell_angle_alpha 90.00
_cell_angle_beta 107.84
_cell_angle_gamma 90.00
_space_group_name_H-M_alt 'C 1 2/m 1'
_space_group_IT_number 12
_space_group_name_Hall '-C 2y'
loop_
_atom_site_label
_atom_site_fract_x
_atom_site_fract_y
_atom_site_fract_z
K1 0.000 0.000 0.000
K2 0.000 0.334 0.000
Sm1 0.000 0.500 0.500
Np1 0.000 0.167 0.500
S1 0.229 0.000 0.703
S2 0.237 0.331 0.703
# - Energy relative to the elements, uncorrected: -1.54 eV per atom
# - Magnetic moment: 8.00 μB per formula unit
# - DFT total energy: -154.35 eV/cell